Ti3PdS6 | GGA-PBE | relaxed

The calculation puts the calculated volume at 20.390 A^3/atom. As for the formation energy (no corrections): -1.04 eV per atom. As for the energy: -128.12 eV per cell.

The structure belongs to space group C2/m (No. 12); the cell edges are 11.5922, 6.6729 and 5.7590 Å and the angles 90.00°, 113.74° and 90.00°. The distinct sites, in fractional coordinates, are Ti at (0.0000, 0.0000, 0.0000), Ti at (0.2325, 0.0000, 0.5798), Pd at (0.0000, 0.5000, 0.5000), S at (0.0935, 0.2579, 0.3232) and S at (0.1869, 0.0000, 0.9136).